Record 1
NdB2Ir3: relaxed, PBE-GGA.

E above lowest polymorph: 0.00 kcal/mol of atoms
SG: P6/mmm (191)
E_form: -631 meV/atom

Structure (POSCAR):
```
NdB2Ir3
1.0
-3.432 -4.214 -1.129
5.188 -0.041 -1.973
0.972 -1.484 2.586
Nd B Ir
1 2 3
direct
0.000 0.000 0.500 Nd
0.667 0.333 0.500 B
0.333 0.667 0.500 B
0.000 0.500 0.000 Ir
0.500 0.500 0.000 Ir
0.500 0.000 0.000 Ir
```

=====

Record 2
AcCeFeN2: relaxed, PBE-GGA.

SG: P2/c (13)
ΔE_f (raw): -3.7 eV per formula unit

Structure (POSCAR):
```
AcCeFeN2
1.0
4.311 0.000 0.000
0.000 6.056 0.122
0.000 -1.699 6.688
Ac Ce Fe N
2 2 2 4
direct
0.191 0.500 0.750 Ac
0.809 0.500 0.250 Ac
0.441 0.000 0.250 Ce
0.559 0.000 0.750 Ce
0.000 0.000 0.000 Fe
0.000 0.000 0.500 Fe
0.719 0.744 0.961 N
0.719 0.256 0.539 N
0.281 0.744 0.461 N
0.281 0.256 0.039 N
```

=====

Record 3
CsMg3Bi3: relaxed, PBE-GGA.

SG: R-3 (148)
E_form: -200 meV/atom

Structure (POSCAR):
```
CsMg3Bi3
1.0
-1.737 5.374 5.311
-7.032 3.264 0.056
-6.232 -4.355 8.027
Cs Mg Bi
2 6 6
direct
0.323 0.323 0.030 Cs
0.677 0.677 0.970 Cs
0.562 0.774 0.585 Mg
0.774 0.079 0.585 Mg
0.079 0.562 0.585 Mg
0.921 0.438 0.415 Mg
0.226 0.921 0.415 Mg
0.438 0.226 0.415 Mg
0.203 0.659 0.284 Bi
0.854 0.203 0.284 Bi
0.659 0.854 0.284 Bi
0.341 0.146 0.716 Bi
0.146 0.797 0.716 Bi
0.797 0.341 0.716 Bi
```

=====

Record 4
ReSiPt2: relaxed, PBE-GGA.

SG: R3m (160)
ΔE_f (raw): -0.7 eV per formula unit

Structure (POSCAR):
```
ReSiPt2
1.0
-1.202 -8.471 1.266
1.615 -8.440 0.983
0.439 -7.897 3.501
Pt Re Si
2 1 1
direct
0.009 0.009 0.009 Pt
0.247 0.247 0.247 Pt
0.494 0.494 0.494 Re
0.750 0.750 0.750 Si
```

=====

Record 5
LaMgHgSb: relaxed, PBE-GGA.

SG: F-43m (216)
ΔE_f (raw): -2.0 eV per formula unit

Structure (POSCAR):
```
LaMgHgSb
1.0
-3.120 0.179 4.344
-1.287 -4.521 2.557
2.072 -1.027 4.826
Sb Mg Hg La
1 1 1 1
direct
0.500 0.500 0.500 Sb
0.750 0.750 0.750 Mg
0.000 0.000 0.000 Hg
0.250 0.250 0.250 La
```

=====

Record 6
Sr2CrSi: relaxed, PBE-GGA.

SG: Amm2 (38)
ΔE_f (raw): 0.2 eV per formula unit

Structure (POSCAR):
```
Sr2CrSi
1.0
4.503 0.000 0.000
0.000 4.843 0.002
0.000 2.420 5.669
Cr Si Sr
1 1 2
direct
0.000 0.670 0.535 Cr
0.500 0.575 0.726 Si
0.000 0.983 0.908 Sr
0.500 0.272 0.331 Sr
```

=====

Record 7
Pa7Bi: relaxed, PBE-GGA.

SG: Fm-3m (225)
E_form: -113 meV/atom

Structure (POSCAR):
```
Pa7Bi
1.0
-0.890 -4.346 4.853
2.133 -6.181 -0.689
5.145 -2.112 3.506
Pa Bi
7 1
direct
0.500 0.500 0.000 Pa
0.500 0.000 0.500 Pa
0.000 0.500 0.500 Pa
0.500 0.000 0.000 Pa
0.000 0.500 0.000 Pa
0.000 0.000 0.500 Pa
0.500 0.500 0.500 Pa
0.000 0.000 0.000 Bi
```

=====

Record 8
NaTiSb2I: relaxed, PBE-GGA.

E above lowest polymorph: 0.00 kcal/mol of atoms
SG: P4/mmm (123)
ΔE_f (raw): -1.1 eV per formula unit

Structure (POSCAR):
```
NaTiSb2I
1.0
5.210 0.000 0.000
0.000 5.210 0.000
0.000 0.000 6.273
I Sb Na Ti
1 2 1 1
direct
0.000 0.000 0.500 I
0.000 0.500 0.000 Sb
0.500 0.000 0.000 Sb
0.500 0.500 0.500 Na
0.000 0.000 0.000 Ti
```

=====

Record 9
LiY4MgAl2: relaxed, PBE-GGA.

SG: R-3m (166)
E_form: -278 meV/atom

Structure (POSCAR):
```
LiY4MgAl2
1.0
5.186 0.000 0.000
2.593 4.491 0.000
2.593 1.497 8.464
Li Y Mg Al
1 4 1 2
direct
0.500 0.500 0.500 Li
0.377 0.377 0.869 Y
0.873 0.873 0.380 Y
0.127 0.127 0.620 Y
0.623 0.623 0.131 Y
0.000 0.000 0.000 Mg
0.750 0.750 0.751 Al
0.250 0.250 0.249 Al
```

=====

Record 10
TbSi3Ir6: relaxed, PBE-GGA.

SG: P1 (1)
ΔE_f (raw): -6.2 eV per formula unit

Structure (POSCAR):
```
TbSi3Ir6
1.0
4.867 0.014 -2.663
-3.073 4.550 0.087
0.403 0.415 6.738
Tb Si Ir
1 3 6
direct
0.892 0.947 0.856 Tb
0.651 0.289 0.977 Si
0.324 0.698 0.979 Si
0.252 0.128 0.345 Si
0.295 0.412 0.703 Ir
0.188 0.645 0.271 Ir
0.773 0.089 0.301 Ir
0.233 0.883 0.648 Ir
0.770 0.386 0.669 Ir
0.620 0.522 0.251 Ir
```

=====

Record 11
PmPr2Cd5: relaxed, PBE-GGA.

SG: I4/mmm (139)
E_form: -316 meV/atom

Structure (POSCAR):
```
PmPr2Cd5
1.0
-1.096 -0.992 5.017
3.038 -4.254 -0.177
5.181 6.925 -0.225
Pm Pr Cd
1 2 5
direct
0.000 0.000 0.000 Pm
0.736 0.736 0.471 Pr
0.264 0.264 0.529 Pr
0.500 0.500 0.000 Cd
0.885 0.385 0.769 Cd
0.385 0.885 0.769 Cd
0.115 0.615 0.231 Cd
0.615 0.115 0.231 Cd
```

=====

Record 12
Pr4Ho8Pu: relaxed, PBE-GGA.

SG: R-3m (166)
E_form: 545 meV/atom

Structure (POSCAR):
```
Pr4Ho8Pu
1.0
7.583 -1.156 1.323
0.905 7.617 1.323
-1.518 -1.156 7.546
Pr Ho Pu
4 8 1
direct
0.500 0.000 0.500 Pr
0.000 0.500 0.500 Pr
0.500 0.500 0.000 Pr
0.000 0.000 0.000 Pr
0.243 0.755 0.243 Ho
0.757 0.757 0.245 Ho
0.757 0.245 0.757 Ho
0.245 0.757 0.757 Ho
0.756 0.756 0.756 Ho
0.244 0.244 0.244 Ho
0.755 0.243 0.243 Ho
0.243 0.243 0.755 Ho
0.500 0.500 0.500 Pu
```

=====

Record 13
SrNbSe2F: relaxed, PBE-GGA.

E above lowest polymorph: 55.96 kcal/mol of atoms
SG: P4/mmm (123)
ΔE_f (raw): 4.1 eV per formula unit

Structure (POSCAR):
```
SrNbSe2F
1.0
5.585 0.000 0.000
0.000 6.665 0.000
0.000 0.000 5.585
Sr Nb Se F
1 1 2 1
direct
0.000 0.000 0.000 Sr
0.000 0.500 0.000 Nb
0.000 0.000 0.500 Se
0.500 0.000 0.000 Se
0.500 0.500 0.500 F
```

=====

Record 14
CdAu: relaxed, PBE-GGA.

SG: Immm (71)
E_form: -97 meV/atom

Structure (POSCAR):
```
CdAu
1.0
-1.706 -1.687 1.633
2.180 -4.019 -1.875
4.038 0.151 4.373
Cd Au
2 2
direct
0.000 0.500 0.500 Cd
0.500 0.000 0.000 Cd
0.500 0.000 0.500 Au
0.000 0.500 0.000 Au
```

=====

Record 15
La8P3I4O: relaxed, PBE-GGA.

SG: R-3m (166)
ΔE_f (raw): -24.6 eV per formula unit

Structure (POSCAR):
```
La8P3I4O
1.0
-2.651 1.675 7.790
8.279 -2.286 3.309
-0.254 5.974 -5.898
La P I O
8 3 4 1
direct
0.215 0.683 0.968 La
0.215 0.683 0.431 La
0.269 0.306 0.538 La
0.752 0.683 0.968 La
0.248 0.317 0.032 La
0.731 0.694 0.462 La
0.785 0.317 0.569 La
0.785 0.317 0.032 La
0.500 0.500 0.000 P
0.500 0.500 0.500 P
0.000 0.500 0.500 P
0.500 0.000 0.000 I
0.500 0.000 0.500 I
0.000 0.000 0.000 I
0.000 0.000 0.500 I
0.000 0.500 0.000 O
```

=====

Record 16
AcYAg: relaxed, PBE-GGA.

E above lowest polymorph: 0.46 kcal/mol of atoms
SG: I4mm (107)
E_form: -146 meV/atom

Structure (POSCAR):
```
AcYAg
1.0
3.803 0.000 0.000
0.000 3.803 0.000
-1.901 -1.901 6.535
Y Ac Ag
1 1 1
direct
0.303 0.303 0.607 Y
0.013 0.013 0.025 Ac
0.684 0.684 0.368 Ag
```

=====

Record 17
Tb2SmY6: relaxed, PBE-GGA.

E above lowest polymorph: 0.00 kcal/mol of atoms
SG: Ibam (72)
E_form: 64 meV/atom

Structure (POSCAR):
```
Tb2SmY6
1.0
-2.858 4.003 2.973
7.947 -4.217 7.772
11.437 2.625 1.914
Tb Sm Y
4 2 12
direct
0.035 0.668 0.832 Tb
0.465 0.168 0.332 Tb
0.965 0.332 0.168 Tb
0.535 0.832 0.668 Tb
0.250 0.250 0.750 Sm
0.750 0.750 0.250 Sm
0.802 0.502 0.666 Y
0.698 0.334 0.498 Y
0.198 0.498 0.334 Y
0.302 0.666 0.502 Y
0.916 0.916 0.417 Y
0.584 0.583 0.084 Y
0.084 0.084 0.583 Y
0.416 0.417 0.916 Y
0.136 0.834 0.998 Y
0.364 0.002 0.166 Y
0.864 0.166 0.002 Y
0.636 0.998 0.834 Y
```

=====

Record 18
Co2Ir5Pt: relaxed, PBE-GGA.

SG: Immm (71)
E_form: 100 meV/atom

Structure (POSCAR):
```
Co2Ir5Pt
1.0
2.577 0.000 0.852
0.691 6.208 2.233
-0.735 -0.777 6.547
Co Ir Pt
2 5 1
direct
0.742 0.758 0.758 Co
0.258 0.242 0.242 Co
0.000 0.500 0.500 Ir
0.635 0.593 0.137 Ir
0.365 0.407 0.863 Ir
0.365 0.863 0.407 Ir
0.635 0.137 0.593 Ir
0.000 0.000 0.000 Pt
```

=====

Record 19
Mg2TiV: relaxed, PBE-GGA.

E above lowest polymorph: 6.73 kcal/mol of atoms
SG: I-42d (122)
E_form: 720 meV/atom

Structure (POSCAR):
```
Mg2TiV
1.0
-6.916 -2.592 -1.564
-0.540 -2.782 6.998
-4.794 -0.352 3.563
Mg V Ti
4 2 2
direct
0.635 0.125 0.250 Mg
0.115 0.625 0.250 Mg
0.375 0.365 0.750 Mg
0.875 0.885 0.750 Mg
0.000 0.000 0.000 V
0.750 0.250 0.500 V
0.500 0.500 0.000 Ti
0.250 0.750 0.500 Ti
```

=====

Record 20
CsGa3Br8: relaxed, PBE-GGA.

SG: C2/m (12)
ΔE_f (raw): -11.8 eV per formula unit

Structure (POSCAR):
```
CsGa3Br8
1.0
-1.071 5.898 3.664
-3.890 -1.159 5.734
9.792 -2.524 4.733
Cs Ga Br
1 3 8
direct
0.000 0.000 0.000 Cs
0.596 0.596 0.275 Ga
0.404 0.404 0.725 Ga
0.000 0.000 0.500 Ga
0.284 0.769 0.724 Br
0.679 0.679 0.092 Br
0.769 0.284 0.724 Br
0.272 0.272 0.548 Br
0.231 0.716 0.276 Br
0.728 0.728 0.452 Br
0.716 0.231 0.276 Br
0.321 0.321 0.908 Br
```

=====

no.,total DFT energy (no corrections) (eV/atom)
1,-8.082
2,-7.767
3,-2.668
4,-7.669
5,-3.248
6,-4.541
7,-8.907
8,-4.020
9,-4.885
10,-8.024
11,-2.677
12,-4.846
13,-3.296
14,-2.193
15,-5.713
16,-4.620
17,-5.799
18,-7.970
19,-4.331
20,-2.927